# NiOs2AuCl | the Alexandria database | PBE-GGA | optimized geometry
data_NiOs2AuCl
_space_group_name_H-M_alt 'P 4/m m m'
_space_group_IT_number 123
_space_group_name_Hall '-P 4 2'
_cell_length_a 5.019
_cell_length_b 5.019
_cell_length_c 4.768
_cell_angle_alpha 90.00
_cell_angle_beta 90.00
_cell_angle_gamma 90.00
loop_
_atom_site_label
_atom_site_type_symbol
_atom_site_fract_x
_atom_site_fract_y
_atom_site_fract_z
Ni1 Ni 0.000 0.000 0.000
Os1 Os 0.000 0.500 0.500
Au1 Au 0.000 0.000 0.500
Cl1 Cl 0.500 0.500 0.000
# Polymorph energy (0 for the lowest one): 0.0 kJ/mol of atoms
# E: -4.293 eV/atom
# Formation energy without anion corrections: 11.9 eV/f.u.

# YMgCu | the Alexandria database | PBE-GGA | optimized geometry
data_YMgCu
_space_group_name_H-M_alt 'I 4/m m m'
_space_group_IT_number 139
_space_group_name_Hall '-I 4 2'
_cell_length_a 4.217
_cell_length_b 4.217
_cell_length_c 14.780
_cell_angle_alpha 90.00
_cell_angle_beta 90.00
_cell_angle_gamma 90.00
loop_
_atom_site_label
_atom_site_type_symbol
_atom_site_fract_x
_atom_site_fract_y
_atom_site_fract_z
Y1 Y 0.000 0.000 0.178
Mg1 Mg 0.000 0.500 0.000
Cu1 Cu 0.000 0.000 0.375
# E_form: -0.16 eV per atom
# Polymorph energy (0 for the lowest one): 5.7 kJ/mol of atoms
# E: -4.212 eV/atom

# TbPm2Zn9 | the Alexandria database | PBE-GGA | optimized geometry
data_TbPm2Zn9
_space_group_name_H-M_alt 'R -3 m'
_space_group_IT_number 166
_space_group_name_Hall '-R 3 2"'
_cell_length_a 5.4827
_cell_length_b 5.4827
_cell_length_c 26.1195
_cell_angle_alpha 90.00
_cell_angle_beta 90.00
_cell_angle_gamma 120.00
loop_
_atom_site_label
_atom_site_type_symbol
_atom_site_fract_x
_atom_site_fract_y
_atom_site_fract_z
Tb1 Tb 0.0000 0.0000 0.0000
Pm1 Pm 0.0000 0.0000 0.1401
Zn1 Zn 0.0000 0.0000 0.3347
Zn2 Zn 0.0000 0.0000 0.5000
Zn3 Zn 0.0042 0.5021 0.9192
# E_form: -0.30 eV per atom
# E: -2.433 eV/atom

# PmIr | the Alexandria database | PBE-GGA | optimized geometry
data_PmIr
_space_group_name_H-M_alt 'F m -3 m'
_space_group_IT_number 225
_space_group_name_Hall '-F 4 2 3'
_cell_length_a 5.815
_cell_length_b 5.815
_cell_length_c 5.815
_cell_angle_alpha 90.00
_cell_angle_beta 90.00
_cell_angle_gamma 90.00
loop_
_atom_site_label
_atom_site_type_symbol
_atom_site_fract_x
_atom_site_fract_y
_atom_site_fract_z
Pm1 Pm 0.000 0.000 0.000
Ir1 Ir 0.000 0.000 0.500
# E_form: -0.34 eV per atom
# E: -7.146 eV/atom

# CdFe2I2Br6 | the Alexandria database | PBE-GGA | optimized geometry
data_CdFe2I2Br6
_space_group_name_H-M_alt 'P -3'
_space_group_IT_number 147
_space_group_name_Hall '-P 3'
_cell_length_a 6.8663
_cell_length_b 6.8663
_cell_length_c 10.8070
_cell_angle_alpha 90.00
_cell_angle_beta 90.00
_cell_angle_gamma 120.00
loop_
_atom_site_label
_atom_site_type_symbol
_atom_site_fract_x
_atom_site_fract_y
_atom_site_fract_z
Cd1 Cd 0.0000 0.0000 0.0000
Fe1 Fe 0.3333 0.6667 0.7793
I1 I 0.3333 0.6667 0.5487
Br1 Br 0.0011 0.6676 0.8460
# E: -3.289 eV/atom
# Formation energy without anion corrections: -5.2 eV/f.u.

# Cd4Ni | the Alexandria database | PBE-GGA | optimized geometry
data_Cd4Ni
_space_group_name_H-M_alt 'I b a m'
_space_group_IT_number 72
_space_group_name_Hall '-I 2 2c'
_cell_length_a 6.254
_cell_length_b 12.459
_cell_length_c 5.199
_cell_angle_alpha 90.00
_cell_angle_beta 90.00
_cell_angle_gamma 90.00
loop_
_atom_site_label
_atom_site_type_symbol
_atom_site_fract_x
_atom_site_fract_y
_atom_site_fract_z
Cd1 Cd 0.160 0.177 0.000
Cd2 Cd 0.162 0.414 0.000
Ni1 Ni 0.000 0.000 0.250
# E_form: 0.03 eV per atom
# E: -1.856 eV/atom